Material: Pm5CuNi4
Method: DFT, PBE
State: relaxed

## Properties
* formation enthalpy at 0 K: -0.24 eV per atom
* electronic total energy: -5.34 eV per atom

Lattice parameters (Å, degrees): 3.4844 3.4844 17.4964 90.00 90.00 90.00
With the nearest neighbours (Å) after each atom.
Space group P4/mmm (No. 123)
Unique sites:
Pm: 0.0000 0.0000 0.0000 x1  8 Ni 3.01
Pm: 0.0000 0.0000 0.1980 x2  8 Ni 3.01-3.02
Pm: 0.0000 0.0000 0.3948 x2  4 Ni 2.99, 4 Cu 3.08
Cu: 0.5000 0.5000 0.5000 x1  8 Pm 3.08
Ni: 0.5000 0.5000 0.0988 x2  8 Pm 3.01
Ni: 0.5000 0.5000 0.2981 x2  8 Pm 2.99-3.02


Material: Y2CoGeIr
Method: DFT, PBE
State: relaxed

## Properties
* formation enthalpy at 0 K: -0.13 eV per atom
* electronic total energy: -6.83 eV per atom

Lattice parameters (Å, degrees): 5.0319 5.0319 4.2893 90.00 90.00 90.00
With the nearest neighbours (Å) after each atom.
Space group P4/mmm (No. 123)
Unique sites:
Y: 0.0000 0.5000 0.0000 x2  2 Co 2.52
Co: 0.0000 0.0000 0.0000 x1  2 Ge 2.14
Ge: 0.0000 0.0000 0.5000 x1  2 Co 2.14
Ir: 0.5000 0.5000 0.5000 x1  8 Y 3.31, 4 Ge 3.56


Material: TlRh2Se
Method: DFT, PBE
State: relaxed

## Properties
* formation energy from raw total energies: 0.10 eV/atom
* electronic total energy: -5.04 eV per atom

Lattice parameters (Å, degrees): 3.1959 3.9295 5.8423 90.00 90.00 90.00
With the nearest neighbours (Å) after each atom.
Space group Pmmm (No. 47)
Unique sites:
Tl: 0.0000 0.0000 0.0000 x1  8 Rh 2.92, 2 Tl 3.20
Rh: 0.5000 0.5000 0.2502 x2  2 Se 2.45
Se: 0.5000 0.0000 0.5000 x1  4 Rh 2.45


Material: AgHSe3
Method: DFT, PBE
State: relaxed

## Properties
* offset from the most stable computed form: 388.1 meV/atom
* electronic total energy: -2.22 eV per atom

Lattice parameters (Å, degrees): 5.1304 5.1304 5.1304 90.00 90.00 90.00
With the nearest neighbours (Å) after each atom.
Space group Pm-3m (No. 221)
Unique sites:
Ag: 0.0000 0.0000 0.0000 x1  6 Se 2.57
H: 0.5000 0.5000 0.5000 x1  12 Se 3.63
Se: 0.0000 0.0000 0.5000 x3  2 Ag 2.57


Material: TaTl2Fe
Method: DFT, PBE
State: relaxed

## Properties
* offset from the most stable computed form: 642.1 meV/atom
* formation enthalpy at 0 K: 1.00 eV per atom
* electronic total energy: -5.26 eV per atom

Lattice parameters (Å, degrees): 6.6880 6.6880 6.6880 90.00 90.00 90.00
With the nearest neighbours (Å) after each atom.
Space group Fm-3m (No. 225)
Unique sites:
Ta: 0.0000 0.0000 0.0000 x4  8 Tl 2.90
Tl: 0.2500 0.2500 0.2500 x8  4 Ta 2.90, 4 Fe 2.90
Fe: 0.0000 0.0000 0.5000 x4  8 Tl 2.90


Material: Sr2Zn2Bi
Method: DFT, PBE
State: relaxed

## Properties
* offset from the most stable computed form: 83.5 meV/atom
* formation enthalpy at 0 K: -0.32 eV per atom
* electronic total energy: -2.27 eV per atom

Lattice parameters (Å, degrees): 3.9357 3.9357 19.8824 90.00 90.00 90.00
With the nearest neighbours (Å) after each atom.
Space group I4/mmm (No. 139)
Unique sites:
Sr: 0.0000 0.0000 0.1072 x4  4 Zn 3.45, 4 Bi 3.51
Zn: 0.0000 0.5000 0.2500 x4  4 Zn 2.78
Bi: 0.0000 0.0000 0.5000 x2  8 Sr 3.51


Material: Y2TcRh
Method: DFT, PBE
State: relaxed

## Properties
* formation enthalpy at 0 K: 0.11 eV per atom
* electronic total energy: -7.55 eV per atom

Lattice parameters (Å, degrees): 6.8041 6.8041 6.8041 90.00 90.00 90.00
With the nearest neighbours (Å) after each atom.
Space group F-43m (No. 216)
Unique sites:
Y: 0.0000 0.0000 0.0000 x4  4 Tc 2.95, 4 Y 2.95
Y: 0.2500 0.2500 0.2500 x4  4 Rh 2.95, 4 Y 2.95
Tc: 0.2500 0.2500 0.7500 x4  4 Rh 2.95, 4 Y 2.95
Rh: 0.0000 0.0000 0.5000 x4  4 Y 2.95, 4 Tc 2.95


Material: TlHgSbAu
Method: DFT, PBE
State: relaxed

## Properties
* offset from the most stable computed form: 153.8 meV/atom
* formation energy from raw total energies: 0.13 eV/atom
* electronic total energy: -2.39 eV per atom

Lattice parameters (Å, degrees): 7.3870 7.3870 7.3870 90.00 90.00 90.00
With the nearest neighbours (Å) after each atom.
Space group F-43m (No. 216)
Unique sites:
Tl: 0.0000 0.0000 0.0000 x4  4 Hg 3.20, 4 Au 3.20
Hg: 0.2500 0.2500 0.7500 x4  4 Tl 3.20, 4 Sb 3.20
Sb: 0.0000 0.0000 0.5000 x4  4 Au 3.20, 4 Hg 3.20
Au: 0.2500 0.2500 0.2500 x4  4 Tl 3.20, 4 Sb 3.20


Material: Li4PdAu5
Method: DFT, PBE
State: relaxed

## Properties
* formation enthalpy at 0 K: -0.45 eV per atom
* electronic total energy: -3.38 eV per atom

Lattice parameters (Å, degrees): 2.9196 3.7666 14.3998 90.00 90.00 90.00
With the nearest neighbours (Å) after each atom.
Space group Pmmm (No. 47)
Unique sites:
Li: 0.0000 0.0000 0.1004 x2  8 Au 2.77-2.79, 4 Li 2.89-2.95
Li: 0.0000 0.0000 0.3051 x2  8 Au 2.70-2.84, 1 Pd 2.81, 3 Li 2.92-2.95
Pd: 0.0000 0.0000 0.5000 x1  2 Li 2.81, 8 Au 2.83, 2 Pd 2.92
Au: 0.5000 0.5000 0.0000 x1  8 Li 2.79, 4 Au 2.86-2.92
Au: 0.5000 0.5000 0.1983 x2  8 Li 2.77-2.84, 4 Au 2.82-2.92
Au: 0.5000 0.5000 0.3939 x2  4 Li 2.70, 3 Au 2.82-2.92, 4 Pd 2.83


Material: NaSr3Ca6
Method: DFT, PBE
State: relaxed

## Properties
* offset from the most stable computed form: 0.0 meV/atom
* formation enthalpy at 0 K: 0.03 eV per atom
* electronic total energy: -1.80 eV per atom

Lattice parameters (Å, degrees): 12.3080 5.7670 12.7369 90.00 92.64 90.00
With the nearest neighbours (Å) after each atom.
Space group P2_1/m (No. 11)
Unique sites:
Na: 0.0506 0.2500 0.3906 x2  10 Ca 3.74-4.08
Sr: 0.2454 0.2500 0.9888 x2  10 Ca 3.94-4.07, 2 Sr 4.08
Sr: 0.3495 0.7500 0.7901 x2  4 Sr 4.03-4.08, 8 Ca 4.03-4.11
Sr: 0.4513 0.2500 0.5968 x2  4 Sr 4.01-4.03, 8 Ca 4.02-4.16
Ca: 0.0446 0.7500 0.8926 x2  1 Na 3.74, 7 Ca 3.83-4.16, 4 Sr 3.94-4.03
Ca: 0.1338 0.2500 0.6835 x2  3 Na 3.76-3.82, 5 Ca 3.88-4.11, 4 Sr 4.06-4.11
Ca: 0.1467 0.7500 0.1886 x2  8 Ca 3.83-3.92, 2 Sr 4.07, 2 Na 4.08
Ca: 0.2301 0.7500 0.4867 x2  3 Na 3.80-3.86, 5 Ca 3.89-4.03, 4 Sr 4.07-4.16
Ca: 0.3335 0.2500 0.2947 x2  1 Na 3.74, 6 Ca 3.89-4.08, 5 Sr 4.00-4.11
Ca: 0.4432 0.7500 0.0997 x2  5 Ca 3.87-4.13, 7 Sr 3.99-4.06


Material: DyHo2Cu3
Method: DFT, PBE
State: relaxed

## Properties
* formation enthalpy at 0 K: -0.26 eV per atom
* electronic total energy: -4.61 eV per atom

Lattice parameters (Å, degrees): 3.4497 3.4497 10.3964 90.00 90.00 90.00
With the nearest neighbours (Å) after each atom.
Space group P4/mmm (No. 123)
Unique sites:
Dy: 0.0000 0.0000 0.0000 x1  8 Cu 3.00
Ho: 0.0000 0.0000 0.3338 x2  8 Cu 2.99
Cu: 0.5000 0.5000 0.1680 x2  4 Ho 2.99, 4 Dy 3.00
Cu: 0.5000 0.5000 0.5000 x1  8 Ho 2.99


Material: MgIO2F
Method: DFT, PBE
State: relaxed

## Properties
* formation energy from raw total energies: 0.23 eV/atom
* electronic total energy: -2.75 eV per atom

Lattice parameters (Å, degrees): 4.4919 4.4919 4.1362 90.00 90.00 90.00
With the nearest neighbours (Å) after each atom.
Space group P4/mmm (No. 123)
Unique sites:
Mg: 0.0000 0.0000 0.0000 x1  8 O 3.05, 4 I 3.18
I: 0.5000 0.5000 0.0000 x1  2 F 2.07
O: 0.0000 0.5000 0.5000 x2  2 F 2.25
F: 0.5000 0.5000 0.5000 x1  2 I 2.07, 4 O 2.25


Material: Pm2TmScSe5
Method: DFT, PBE
State: relaxed

## Properties
* formation energy from raw total energies: -1.23 eV/atom
* electronic total energy: -5.42 eV per atom

Lattice parameters (Å, degrees): 5.0788 5.0788 10.3407 90.00 90.00 90.00
With the nearest neighbours (Å) after each atom.
Space group P4/mmm (No. 123)
Unique sites:
Pm: 0.0000 0.0000 0.2086 x2  5 Se 3.01-3.33
Tm: 0.5000 0.5000 0.0000 x1  6 Se 2.54-2.70
Sc: 0.5000 0.5000 0.5000 x1  2 Se 2.47
Se: 0.0000 0.0000 0.5000 x1  2 Pm 3.01
Se: 0.0000 0.5000 0.0000 x2  2 Tm 2.54
Se: 0.5000 0.5000 0.2613 x2  1 Sc 2.47, 1 Tm 2.70


Material: LaSn2Ru
Method: DFT, PBE
State: relaxed

## Properties
* formation enthalpy at 0 K: -0.46 eV per atom
* electronic total energy: -6.01 eV per atom

Lattice parameters (Å, degrees): 4.5369 4.5369 16.5416 90.00 90.00 120.00
With the nearest neighbours (Å) after each atom.
Space group R-3m (No. 166, hexagonal axes)
Unique sites:
La: 0.0000 0.0000 0.0000 x3  8 Sn 3.24-3.62
Sn: 0.0000 0.0000 0.2185 x6  3 Ru 2.76
Ru: 0.0000 0.0000 0.5000 x3  6 Sn 2.76


Material: AgPPt4
Method: DFT, PBE
State: relaxed

## Properties
* offset from the most stable computed form: 0.0 meV/atom
* formation enthalpy at 0 K: -0.16 eV per atom
* electronic total energy: -5.56 eV per atom

Lattice parameters (Å, degrees): 10.2714 5.6037 7.4920 90.00 106.83 90.00
With the nearest neighbours (Å) after each atom.
Space group C2/m (No. 12)
Unique sites:
Ag: 0.2434 0.0000 0.0168 x4  8 Pt 2.82-3.04, 2 Ag 2.82
P: 0.0647 0.5000 0.2613 x4  5 Pt 2.22-2.36
Pt: 0.0000 0.2434 0.0000 x4  2 P 2.36
Pt: 0.0874 0.2375 0.6793 x8  1 P 2.28
Pt: 0.2466 0.0000 0.5016 x4  1 P 2.22


Material: Sr6P2IBr3
Method: DFT, PBE
State: relaxed

## Properties
* formation energy from raw total energies: -1.45 eV/atom
* electronic total energy: -3.74 eV per atom

Lattice parameters (Å, degrees): 19.6815 4.5121 9.2003 90.00 102.35 90.00
With the nearest neighbours (Å) after each atom.
Space group C2/m (No. 12)
Unique sites:
Sr: 0.0149 0.0000 0.2707 x4  1 P 2.94, 2 Br 3.15
Sr: 0.1738 0.5000 0.1238 x4  2 P 2.98, 1 Br 3.21
Sr: 0.1750 0.5000 0.5584 x4  3 P 3.04-3.05, 1 Br 3.37
P: 0.1678 0.0000 0.3328 x4  6 Sr 2.94-3.05
I: 0.0000 0.5000 0.0000 x2  6 Sr 3.33-3.37
Br: 0.0000 0.5000 0.5000 x2  6 Sr 3.15-3.37
Br: 0.1602 0.0000 0.8364 x4  6 Sr 3.21-3.47


Material: CsDySnS4
Method: DFT, PBE
State: relaxed

## Properties
* formation energy from raw total energies: -1.22 eV/atom
* electronic total energy: -4.93 eV per atom

Lattice parameters (Å, degrees): 6.7927 7.0317 9.6394 90.00 108.71 90.00
With the nearest neighbours (Å) after each atom.
Space group P2_1/m (No. 11)
Unique sites:
Cs: 0.2368 0.2500 0.4443 x2  2 S 3.33-3.50
Dy: 0.2918 0.2500 0.9540 x2  6 S 2.74-2.84
Sn: 0.2560 0.7500 0.1542 x2  4 S 2.37-2.44
S: 0.0114 0.7500 0.9145 x2  1 Sn 2.37
S: 0.0470 0.7500 0.3105 x2  1 Sn 2.38
S: 0.4909 0.5053 0.8138 x4  1 Sn 2.44


Material: La5Sm3
Method: DFT, PBE
State: relaxed

## Properties
* offset from the most stable computed form: 0.0 meV/atom
* formation enthalpy at 0 K: 0.01 eV per atom
* electronic total energy: -4.84 eV per atom

Lattice parameters (Å, degrees): 10.5255 10.4076 10.3980 90.00 90.00 90.00
With the nearest neighbours (Å) after each atom.
Space group Amm2 (No. 38)
Unique sites:
La: 0.0000 0.0000 0.0000 x2  10 La 3.63-3.72, 2 Sm 3.72
La: 0.0000 0.2468 0.2468 x4  8 La 3.63-3.72, 4 Sm 3.63-3.72
La: 0.2483 0.0000 0.7462 x4  8 La 3.67-3.71, 4 Sm 3.70-3.72
La: 0.2526 0.2498 0.4965 x8  6 Sm 3.67-3.72, 6 La 3.67-3.72
La: 0.5000 0.0000 0.4968 x2  6 Sm 3.66-3.68, 6 La 3.68-3.71
Sm: 0.0000 0.0000 0.4941 x2  10 La 3.63-3.72, 2 Sm 3.72
Sm: 0.2556 0.0000 0.2470 x4  4 Sm 3.65-3.72, 8 La 3.66-3.72
Sm: 0.5000 0.0000 0.9967 x2  6 Sm 3.66-3.69, 6 La 3.68-3.72
Sm: 0.5000 0.2495 0.2461 x4  4 Sm 3.65-3.69, 8 La 3.68-3.72


Material: ScSeS
Method: DFT, PBE
State: relaxed

## Properties
* offset from the most stable computed form: 79.9 meV/atom
* formation energy from raw total energies: -1.40 eV/atom
* electronic total energy: -6.05 eV per atom

Lattice parameters (Å, degrees): 4.9431 5.1716 5.5581 97.58 110.16 95.18
With the nearest neighbours (Å) after each atom.
Space group P-1 (No. 2)
Unique sites:
Sc: 0.1965 0.2179 0.4093 x2  4 S 2.51-2.70
Se: 0.3012 0.1260 0.9356 x2  1 Se 2.41
S: 0.2324 0.7039 0.4046 x2  4 Sc 2.51-2.70


Material: KCI
Method: DFT, PBE
State: relaxed

## Properties
* formation energy from raw total energies: 0.17 eV/atom
* electronic total energy: -3.79 eV per atom

Lattice parameters (Å, degrees): 13.6229 2.9056 9.6160 90.00 107.24 90.00
With the nearest neighbours (Å) after each atom.
Space group C2/m (No. 12)
Unique sites:
K: 0.1520 0.0000 0.2162 x4  3 C 2.75-2.95, 2 K 2.91
C: 0.2468 0.5000 0.4901 x4  2 C 1.46
I: 0.1003 0.5000 0.8576 x4  2 I 2.91


Material: Hf2ZrV2
Method: DFT, PBE
State: relaxed

## Properties
* offset from the most stable computed form: 172.8 meV/atom
* formation enthalpy at 0 K: 0.37 eV per atom
* electronic total energy: -8.97 eV per atom

Lattice parameters (Å, degrees): 4.0954 4.0954 11.8609 90.00 90.00 90.00
With the nearest neighbours (Å) after each atom.
Space group I4/mmm (No. 139)
Unique sites:
Hf: 0.0000 0.5000 0.2500 x4  4 V 2.82, 4 Hf 2.90
Zr: 0.0000 0.0000 0.0000 x2  8 V 3.07
V: 0.0000 0.0000 0.4137 x4  1 V 2.05


Material: LaZrBi
Method: DFT, PBE
State: relaxed

## Properties
* formation enthalpy at 0 K: -0.60 eV per atom
* electronic total energy: -6.38 eV per atom

Lattice parameters (Å, degrees): 4.4983 4.4983 8.7754 90.00 90.00 90.00
With the nearest neighbours (Å) after each atom.
Space group P4/nmm (No. 129, origin choice 2)
Unique sites:
La: 0.2500 0.2500 0.1482 x2  5 Bi 3.31-3.50
Zr: 0.2500 0.7500 0.5000 x2  4 Bi 3.14, 4 Zr 3.18
Bi: 0.2500 0.2500 0.7490 x2  4 Zr 3.14, 5 La 3.31-3.50


Material: LiMg2Te
Method: DFT, PBE
State: relaxed

## Properties
* formation energy from raw total energies: -0.09 eV/atom
* electronic total energy: -2.15 eV per atom

Lattice parameters (Å, degrees): 4.0405 5.4319 9.0588 90.00 90.00 90.00
With the nearest neighbours (Å) after each atom.
Space group Cmmm (No. 65)
Unique sites:
Li: 0.0000 0.0000 0.0000 x2  4 Mg 3.03, 4 Li 3.38
Mg: 0.0000 0.5000 0.2495 x4  2 Li 3.03, 2 Te 3.04, 4 Mg 3.38
Te: 0.0000 0.0000 0.5000 x2  4 Mg 3.04, 4 Te 3.38


Material: Cd2Sb2Pd
Method: DFT, PBE
State: relaxed

## Properties
* offset from the most stable computed form: 0.0 meV/atom
* formation energy from raw total energies: -0.01 eV/atom
* electronic total energy: -3.07 eV per atom

Lattice parameters (Å, degrees): 7.0691 7.0691 5.0241 90.00 90.00 90.00
With the nearest neighbours (Å) after each atom.
Space group P4/mbm (No. 127)
Unique sites:
Cd: 0.1656 0.3344 0.0000 x4  6 Sb 3.10-3.38, 1 Cd 3.31
Sb: 0.1535 0.6535 0.5000 x4  2 Pd 2.68
Pd: 0.0000 0.0000 0.5000 x2  4 Sb 2.68


Material: RbScGe
Method: DFT, PBE
State: relaxed

## Properties
* offset from the most stable computed form: 770.1 meV/atom
* formation enthalpy at 0 K: 0.41 eV per atom
* electronic total energy: -3.56 eV per atom

Lattice parameters (Å, degrees): 12.0095 6.3571 7.7094 90.00 90.00 90.00
With the nearest neighbours (Å) after each atom.
Space group Pnma (No. 62)
Unique sites:
Rb: 0.1484 0.2500 0.0173 x4  4 Ge 3.60-3.81
Sc: 0.0000 0.0000 0.5000 x4  2 Ge 2.60
Ge: 0.0945 0.7500 0.2764 x4  2 Sc 2.60